Record 1
Pm2InGe2Rh5 | PBE-GGA | relaxed Values from VASP.

Geometry as Quantum ESPRESSO input:
```
&SYSTEM
  ibrav = 0, nat = 20, ntyp = 4
/
ATOMIC_SPECIES
Rh 102.91 Rh.upf
Ge 72.64 Ge.upf
Pm 145.00 Pm.upf
In 114.82 In.upf
CELL_PARAMETERS angstrom
-0.593 -2.257 -2.776
-2.461 -7.243 6.416
-9.537 2.932 -0.348
ATOMIC_POSITIONS crystal
Rh 0.500 0.568 0.714
Rh 0.500 0.786 0.932
Rh 0.500 0.068 0.786
Rh 0.500 0.500 0.000
Rh 0.500 0.214 0.068
Rh 0.500 0.932 0.214
Rh 0.500 0.714 0.432
Rh 0.500 0.000 0.500
Rh 0.500 0.286 0.568
Rh 0.500 0.432 0.286
Ge 0.000 0.878 0.378
Ge 0.000 0.122 0.622
Ge 0.000 0.378 0.122
Ge 0.000 0.622 0.878
Pm 0.000 0.324 0.824
Pm 0.000 0.176 0.324
Pm 0.000 0.676 0.176
Pm 0.000 0.824 0.676
In 0.000 0.500 0.500
In 0.000 0.000 0.000
```

## Properties
The volume is 362 Å³ per cell. The calculation puts the density of states at the Fermi level at 3.78 states/eV/f.u. For the formation energy, the calculation gives -754 meV/atom. The calculation puts the density at 9.78 g/cm3. Its space group is No. 127.

Record 2
PmInGe2Rh5 | PBE-GGA | relaxed Values from VASP.

Geometry as Quantum ESPRESSO input:
```
&SYSTEM
  ibrav = 0, nat = 9, ntyp = 4
/
ATOMIC_SPECIES
Rh 102.91 Rh.upf
In 114.82 In.upf
Ge 72.64 Ge.upf
Pm 145.00 Pm.upf
CELL_PARAMETERS angstrom
4.642 0.000 0.000
0.000 4.642 0.000
0.000 0.000 7.420
ATOMIC_POSITIONS crystal
Rh 0.500 0.000 0.230
Rh 0.500 0.000 0.770
Rh 0.000 0.500 0.770
Rh 0.500 0.500 0.500
Rh 0.000 0.500 0.230
In 0.000 0.000 0.000
Ge 0.500 0.500 0.830
Ge 0.500 0.500 0.170
Pm 0.000 0.000 0.500
```

## Properties
The volume is 160 Å³ per cell. The calculation puts the density of states at the Fermi level at 3.86 states/eV/f.u. For the formation energy, the calculation gives -370 meV/atom. The calculation puts the density at 9.55 g/cm3. Its space group is No. 123.

Record 3
PmInGeRh | PBE-GGA | relaxed Values from VASP.

Geometry as Quantum ESPRESSO input:
```
&SYSTEM
  ibrav = 0, nat = 4, ntyp = 4
/
ATOMIC_SPECIES
In 114.82 In.upf
Pm 145.00 Pm.upf
Ge 72.64 Ge.upf
Rh 102.91 Rh.upf
CELL_PARAMETERS angstrom
4.900 0.000 0.000
2.450 4.243 0.000
2.450 1.414 4.001
ATOMIC_POSITIONS crystal
In 0.500 0.500 0.500
Pm 0.000 0.000 0.000
Ge 0.250 0.250 0.250
Rh 0.750 0.750 0.750
```

## Properties
The volume is 83 Å³ per cell. The calculation puts the density of states at the Fermi level at 3.83 states/eV/f.u. For the formation energy, the calculation gives -412 meV/atom. The calculation puts the density at 8.69 g/cm3. Its space group is No. 216.

Record 4
Pm3In2GeRu3 | PBE-GGA | relaxed Values from VASP.

Geometry as Quantum ESPRESSO input:
```
&SYSTEM
  ibrav = 0, nat = 9, ntyp = 4
/
ATOMIC_SPECIES
Pm 145.00 Pm.upf
In 114.82 In.upf
Ru 101.07 Ru.upf
Ge 72.64 Ge.upf
CELL_PARAMETERS angstrom
3.713 0.000 0.000
0.000 7.792 0.000
0.000 -3.896 6.748
ATOMIC_POSITIONS crystal
Pm 0.000 0.000 0.369
Pm 0.000 0.631 0.631
Pm 0.000 0.369 0.000
In 0.500 0.667 0.333
In 0.500 0.333 0.667
Ru 0.500 0.770 0.000
Ru 0.500 0.230 0.230
Ru 0.500 0.000 0.770
Ge 0.000 0.000 0.000
```

## Properties
The volume is 195 Å³ per cell. The calculation puts the density of states at the Fermi level at 4.77 states/eV/f.u. For the formation energy, the calculation gives -299 meV/atom. The calculation puts the density at 8.85 g/cm3. Its space group is No. 189.

> What is the density in the third record?

8.69 g/cm3

> The lowest density belongs to which entry?

PmInGeRh

> Look up the density of the fourth one.

8.85 g/cm3